Below is a relaxed KRb2SiPt crystal, with properties calculated at the PBE-GGA level.

abc: 6.7331 6.7331 4.6375
angles: 90.00 90.00 90.00
Fractional positions:
K 0.0000 0.0000 0.0000
Rb 0.0000 0.5000 0.5000
Rb 0.5000 0.0000 0.5000
Si 0.5000 0.5000 0.0000
Pt 0.5000 0.5000 0.5000

E: -2.9500 eV per atom
calculated density: 3.42 g/cm³

Below is a relaxed Dy5Si10Ir4 crystal, with properties calculated at the PBE-GGA level.

abc: 12.6432 12.6432 4.2697
angles: 90.00 90.00 90.00
Fractional positions:
Dy 0.0000 0.0000 0.0000
Dy 0.1142 0.3858 0.5000
Dy 0.1755 0.6755 0.5000
Dy 0.3245 0.1755 0.5000
Dy 0.3858 0.8858 0.5000
Dy 0.5000 0.5000 0.0000
Dy 0.6142 0.1142 0.5000
Dy 0.6755 0.8245 0.5000
Dy 0.8245 0.3245 0.5000
Dy 0.8858 0.6142 0.5000
Si 0.0010 0.8427 0.5000
Si 0.0663 0.5663 0.0000
Si 0.1573 0.0010 0.5000
Si 0.1640 0.2014 0.0000
Si 0.2014 0.8360 0.0000
Si 0.2986 0.3360 0.0000
Si 0.3360 0.7014 0.0000
Si 0.3427 0.5010 0.5000
Si 0.4337 0.0663 0.0000
Si 0.4990 0.3427 0.5000
Si 0.5010 0.6573 0.5000
Si 0.5663 0.9337 0.0000
Si 0.6573 0.4990 0.5000
Si 0.6640 0.2986 0.0000
Si 0.7014 0.6640 0.0000
Si 0.7986 0.1640 0.0000
Si 0.8360 0.7986 0.0000
Si 0.8427 0.9990 0.5000
Si 0.9337 0.4337 0.0000
Si 0.9990 0.1573 0.5000
Ir 0.0202 0.7553 0.0000
Ir 0.2447 0.0202 0.0000
Ir 0.2553 0.5202 0.0000
Ir 0.4798 0.2553 0.0000
Ir 0.5202 0.7447 0.0000
Ir 0.7447 0.4798 0.0000
Ir 0.7553 0.9798 0.0000
Ir 0.9798 0.2447 0.0000

E: -6.8219 eV per atom
calculated density: 9.06 g/cm³

Below is a relaxed LaTb2TmSc4 crystal, with properties calculated at the PBE-GGA level.

abc: 4.9602 4.9602 9.2258
angles: 90.00 90.00 90.00
Fractional positions:
La 0.0000 0.0000 0.0000
Tb 0.0000 0.0000 0.5000
Tb 0.5000 0.5000 0.0000
Tm 0.5000 0.5000 0.5000
Sc 0.0000 0.5000 0.2544
Sc 0.0000 0.5000 0.7456
Sc 0.5000 0.0000 0.2544
Sc 0.5000 0.0000 0.7456

DFT formation energy: 0.061 eV/atom
E: -5.4369 eV per atom
calculated density: 5.89 g/cm³

Below is a relaxed HgAuSe2 crystal, with properties calculated at the PBE-GGA level.

abc: 4.4667 4.4667 8.4047
angles: 107.25 107.25 39.19
Fractional positions:
Hg 0.0000 0.0000 0.0000
Au 0.3682 0.3682 0.6914
Se 0.6043 0.6043 0.5525
Se 0.7927 0.7927 0.1934

E: -2.4943 eV per atom
calculated density: 9.17 g/cm³

Below is a relaxed Sm2CoSi3Ni12 crystal, with properties calculated at the PBE-GGA level.

abc: 8.8701 8.8701 8.8701
angles: 40.11 40.11 40.11
Fractional positions:
Sm 0.1521 0.1521 0.1521
Sm 0.8479 0.8479 0.8479
Co 0.5000 0.5000 0.5000
Si 0.0000 0.5000 0.5000
Si 0.5000 0.0000 0.5000
Si 0.5000 0.5000 0.0000
Ni 0.0894 0.0894 0.6872
Ni 0.0894 0.6872 0.0894
Ni 0.1499 0.5669 0.5669
Ni 0.3128 0.9106 0.9106
Ni 0.4331 0.4331 0.8501
Ni 0.4331 0.8501 0.4331
Ni 0.5669 0.1499 0.5669
Ni 0.5669 0.5669 0.1499
Ni 0.6872 0.0894 0.0894
Ni 0.8501 0.4331 0.4331
Ni 0.9106 0.3128 0.9106
Ni 0.9106 0.9106 0.3128

E: -5.7402 eV per atom
calculated density: 7.30 g/cm³

Below is a relaxed MgZnAs2 crystal, with properties calculated at the PBE-GGA level.

abc: 4.5598 4.5598 3.6976
angles: 90.00 90.00 103.70
Fractional positions:
Mg 0.0000 0.0000 0.0000
Zn 0.5000 0.5000 0.0000
As 0.0000 0.5000 0.5000
As 0.5000 0.0000 0.5000

excess energy over the best structure of this formula in the dataset: 0.20 eV per formula unit
DFT formation energy: -0.050 eV/atom
E: -3.0922 eV per atom
calculated density: 5.33 g/cm³

Below is a relaxed MgBeTe2 crystal, with properties calculated at the PBE-GGA level.

abc: 7.8954 7.8954 4.2234
angles: 94.90 94.90 29.29
Fractional positions:
Mg 0.0000 0.0000 0.0000
Be 0.3942 0.3942 0.3462
Te 0.5474 0.5474 0.5488
Te 0.8234 0.8234 0.1438

excess energy over the best structure of this formula in the dataset: 0.76 eV per formula unit
E: -3.2860 eV per atom
calculated density: 3.73 g/cm³

Below is a relaxed Rb3H4Se crystal, with properties calculated at the PBE-GGA level.

abc: 8.5670 8.5670 7.1419
angles: 114.35 114.35 28.65
Fractional positions:
Rb 0.0000 0.0000 0.0000
Rb 0.6076 0.6076 0.6061
Rb 0.8585 0.8585 0.3596
H 0.2445 0.2445 0.5905
H 0.2435 0.2435 0.8972
H 0.4516 0.4516 0.2246
H 0.4517 0.4517 0.6796
Se 0.3173 0.3173 0.8175

excess energy over the best structure of this formula in the dataset: 2.48 eV per formula unit
E: -2.5071 eV per atom
calculated density: 2.48 g/cm³

Below is a relaxed Y2InGe2Rh5 crystal, with properties calculated at the PBE-GGA level.

abc: 9.8596 9.8596 3.6139
angles: 90.00 90.00 90.00
Fractional positions:
Y 0.1749 0.3251 0.0000
Y 0.3251 0.8251 0.0000
Y 0.6749 0.1749 0.0000
Y 0.8251 0.6749 0.0000
In 0.0000 0.0000 0.0000
In 0.5000 0.5000 0.0000
Ge 0.1230 0.6230 0.0000
Ge 0.3770 0.1230 0.0000
Ge 0.6230 0.8770 0.0000
Ge 0.8770 0.3770 0.0000
Rh 0.0000 0.5000 0.5000
Rh 0.0686 0.7875 0.5000
Rh 0.2125 0.0686 0.5000
Rh 0.2875 0.5686 0.5000
Rh 0.4314 0.2875 0.5000
Rh 0.5000 0.0000 0.5000
Rh 0.5686 0.7125 0.5000
Rh 0.7125 0.4314 0.5000
Rh 0.7875 0.9314 0.5000
Rh 0.9314 0.2125 0.5000

DFT formation energy: -0.803 eV/atom
E: -6.9684 eV per atom
calculated density: 9.00 g/cm³

Below is a relaxed Y2TlPd4 crystal, with properties calculated at the PBE-GGA level.

abc: 7.9645 7.9645 7.9645
angles: 143.34 143.34 52.82
Fractional positions:
Y 0.1274 0.1274 0.0000
Y 0.8726 0.8726 0.0000
Tl 0.5000 0.5000 0.0000
Pd 0.0000 0.5000 0.5000
Pd 0.3090 0.3090 0.0000
Pd 0.5000 0.0000 0.5000
Pd 0.6910 0.6910 0.0000

excess energy over the best structure of this formula in the dataset: 4.52 eV per formula unit
DFT formation energy: -0.044 eV/atom
E: -5.1960 eV per atom
calculated density: 7.49 g/cm³

Below is a relaxed Mo2CI crystal, with properties calculated at the PBE-GGA level.

abc: 4.3803 4.3803 4.3803
angles: 60.00 60.00 60.00
Fractional positions:
Mo 0.2500 0.2500 0.2500
Mo 0.7500 0.7500 0.7500
C 0.0000 0.0000 0.0000
I 0.5000 0.5000 0.5000

excess energy over the best structure of this formula in the dataset: 2.64 eV per formula unit
E: -6.5602 eV per atom
calculated density: 9.24 g/cm³

Below is a relaxed CuNi4Cl crystal, with properties calculated at the PBE-GGA level.

abc: 4.7808 4.7808 4.7808
angles: 60.00 60.00 60.00
Fractional positions:
Cu 0.0000 0.0000 0.0000
Ni 0.1234 0.6255 0.6255
Ni 0.6255 0.1234 0.6255
Ni 0.6255 0.6255 0.1234
Ni 0.6255 0.6255 0.6255
Cl 0.2500 0.2500 0.2500

E: -4.2875 eV per atom
calculated density: 7.17 g/cm³

Below is a relaxed ZnRe3Os crystal, with properties calculated at the PBE-GGA level.

abc: 4.3938 4.3938 4.3938
angles: 90.00 90.00 90.00
Fractional positions:
Zn 0.0000 0.0000 0.0000
Re 0.0000 0.0000 0.5000
Re 0.0000 0.5000 0.0000
Re 0.5000 0.0000 0.0000
Os 0.5000 0.5000 0.5000

excess energy over the best structure of this formula in the dataset: 0.00 eV per formula unit
DFT formation energy: 2.179 eV/atom
E: -7.7909 eV per atom
calculated density: 15.94 g/cm³

Below is a relaxed NaLiW2 crystal, with properties calculated at the PBE-GGA level.

abc: 11.3003 11.3003 11.3003
angles: 161.33 161.33 26.52
Fractional positions:
Na 0.0000 0.0000 0.0000
Na 0.7500 0.2500 0.5000
Li 0.2500 0.7500 0.5000
Li 0.5000 0.5000 0.0000
W 0.1300 0.6250 0.0050
W 0.3750 0.3800 0.5050
W 0.6200 0.1250 0.9950
W 0.8750 0.8700 0.4950

excess energy over the best structure of this formula in the dataset: 0.00 eV per formula unit
DFT formation energy: 1.054 eV/atom
E: -6.2304 eV per atom
calculated density: 8.93 g/cm³

Below is a relaxed Rb2PaBiTe5 crystal, with properties calculated at the PBE-GGA level.

abc: 10.4952 10.4952 16.3127
angles: 90.00 90.00 153.95
Fractional positions:
Rb 0.1055 0.8945 0.5000
Rb 0.1352 0.8648 0.1485
Rb 0.8648 0.1352 0.6485
Rb 0.8945 0.1055 0.0000
Pa 0.2086 0.7914 0.8669
Pa 0.7914 0.2086 0.3669
Bi 0.4553 0.5447 0.2659
Bi 0.5447 0.4553 0.7659
Te 0.0620 0.9380 0.8931
Te 0.2867 0.7133 0.4841
Te 0.3099 0.6901 0.2417
Te 0.3460 0.6540 0.8290
Te 0.4963 0.5037 0.6018
Te 0.5037 0.4963 0.1017
Te 0.6540 0.3460 0.3290
Te 0.6901 0.3099 0.7417
Te 0.7133 0.2867 0.9841
Te 0.9380 0.0620 0.3931

E: -4.1706 eV per atom
calculated density: 5.26 g/cm³

Below is a relaxed Sm6AlFe2 crystal, with properties calculated at the PBE-GGA level.

abc: 8.4807 8.4807 8.4807
angles: 112.02 110.16 106.29
Fractional positions:
Sm 0.0400 0.2384 0.8016
Sm 0.1829 0.2784 0.4613
Sm 0.1829 0.7216 0.9045
Sm 0.3278 0.0162 0.6884
Sm 0.3278 0.6393 0.3116
Sm 0.4368 0.2384 0.1984
Sm 0.5632 0.7616 0.8016
Sm 0.6722 0.3607 0.6884
Sm 0.6722 0.9838 0.3116
Sm 0.8171 0.2784 0.0955
Sm 0.8171 0.7216 0.5387
Sm 0.9600 0.7616 0.1984
Al 0.0000 0.0000 0.0000
Al 0.5000 0.5000 0.0000
Fe 0.1079 0.6079 0.5000
Fe 0.3174 0.0000 0.3174
Fe 0.6826 0.0000 0.6826
Fe 0.8921 0.3921 0.5000

DFT formation energy: -0.056 eV/atom
E: -5.4989 eV per atom
calculated density: 7.38 g/cm³

Below is a relaxed Hf2Be3Co crystal, with properties calculated at the PBE-GGA level.

abc: 4.7585 4.7585 4.7585
angles: 60.28 60.28 60.28
Fractional positions:
Hf 0.1257 0.1257 0.1257
Hf 0.8743 0.8743 0.8743
Be 0.0000 0.5000 0.5000
Be 0.5000 0.0000 0.5000
Be 0.5000 0.5000 0.0000
Co 0.5000 0.5000 0.5000

DFT formation energy: -0.205 eV/atom
E: -6.5699 eV per atom
calculated density: 9.60 g/cm³

Below is a relaxed CsNa2OsCl8 crystal, with properties calculated at the PBE-GGA level.

abc: 6.0439 7.3789 9.6997
angles: 111.49 95.67 96.32
Fractional positions:
Cs 0.0000 0.0000 0.0000
Na 0.4590 0.3389 0.8039
Na 0.5410 0.6611 0.1961
Os 0.0000 0.0000 0.5000
Cl 0.0990 0.7723 0.2824
Cl 0.2623 0.2494 0.4935
Cl 0.2636 0.9207 0.6492
Cl 0.4619 0.7187 0.9414
Cl 0.5381 0.2813 0.0586
Cl 0.7364 0.0793 0.3508
Cl 0.7377 0.7506 0.5065
Cl 0.9010 0.2277 0.7176

E: -3.5686 eV per atom
calculated density: 2.74 g/cm³

Below is a relaxed BaYBr3 crystal, with properties calculated at the PBE-GGA level.

abc: 5.6025 5.6025 5.6025
angles: 90.00 90.00 90.00
Fractional positions:
Ba 0.0000 0.0000 0.0000
Y 0.5000 0.5000 0.5000
Br 0.0000 0.5000 0.5000
Br 0.5000 0.0000 0.5000
Br 0.5000 0.5000 0.0000

excess energy over the best structure of this formula in the dataset: 0.00 eV per formula unit
E: -4.0382 eV per atom
calculated density: 4.40 g/cm³

Below is a relaxed DyZrPS crystal, with properties calculated at the PBE-GGA level.

abc: 10.4003 10.4003 10.4003
angles: 25.16 25.16 25.16
Fractional positions:
Dy 0.1140 0.1140 0.1140
Dy 0.8860 0.8860 0.8860
Zr 0.2978 0.2978 0.2978
Zr 0.7022 0.7022 0.7022
P 0.3841 0.3841 0.3841
P 0.6159 0.6159 0.6159
S 0.2050 0.2050 0.2050
S 0.7950 0.7950 0.7950

E: -7.0657 eV per atom
calculated density: 5.88 g/cm³

Below is a relaxed BaVAs3 crystal, with properties calculated at the PBE-GGA level.

abc: 4.9204 4.9204 4.9204
angles: 90.00 90.00 90.00
Fractional positions:
Ba 0.0000 0.0000 0.0000
V 0.5000 0.5000 0.5000
As 0.0000 0.5000 0.5000
As 0.5000 0.0000 0.5000
As 0.5000 0.5000 0.0000

excess energy over the best structure of this formula in the dataset: 0.00 eV per formula unit
DFT formation energy: -0.492 eV/atom
E: -5.4902 eV per atom
calculated density: 5.76 g/cm³

Below is a relaxed CaLa2Co crystal, with properties calculated at the PBE-GGA level.

abc: 3.5765 3.5765 9.7459
angles: 90.00 90.00 90.00
Fractional positions:
Ca 0.0000 0.0000 0.0000
La 0.5000 0.5000 0.3353
La 0.5000 0.5000 0.6647
Co 0.0000 0.0000 0.5000

excess energy over the best structure of this formula in the dataset: 0.35 eV per formula unit
DFT formation energy: 0.017 eV/atom
E: -4.7234 eV per atom
calculated density: 5.02 g/cm³

Below is a relaxed YBe2Si crystal, with properties calculated at the PBE-GGA level.

abc: 3.9614 3.9614 3.9277
angles: 90.00 90.00 90.00
Fractional positions:
Y 0.0000 0.0000 0.0000
Be 0.0000 0.5000 0.5000
Be 0.5000 0.0000 0.5000
Si 0.5000 0.5000 0.0000

E: -4.8276 eV per atom
calculated density: 3.64 g/cm³